Material: AlCoO3
Method: DFT, PBE with a Hubbard U
State: optimized geometry

Cell lengths 2.5775, 5.1975, 5.1974 Å; angles 60.05, 89.99, 90.00 degrees
Closest atoms and distances in Å follow each position.
Fractional positions:
Al1 0.2202 0.4329 0.3956  6 O 1.93
Co1 0.2200 0.0994 0.0621  6 O 2.02-2.03
O1 0.7202 0.2741 0.7150  2 Al 1.93, 2 Co 2.03
O2 0.7203 0.2719 0.2361  2 Al 1.93, 2 Co 2.02
O3 0.7202 0.7522 0.2354  2 Al 1.93, 2 Co 2.03

## Properties
Calculated volume: 60.33 Å³/cell
SG: P-6 (174)
Final energy: -6.37 eV/atom
D(E_F): 0.783 states/eV per cell